[1]
Entry from Alexandria via LeMat-Bulk: Cu2SbO5 after structural relaxation (PBE).

uncorrected formation energy: -0.78 eV per atom
energy above the lowest structure with this stoichiometry: 0 meV/atom

a b c (Å): 5.5763 5.5763 9.6656
angles (deg): 90.00 90.00 138.71
Closest atoms and distances in Å follow each position.
Atoms (fractional coordinates):
Cu 0.1335 0.8665 0.5747  4 O 1.90-2.01
Cu 0.1335 0.8665 0.9253  4 O 1.90-2.01
Cu 0.8665 0.1335 0.0747  4 O 1.90-2.01
Cu 0.8665 0.1335 0.4253  4 O 1.90-2.01
Sb 0.2037 0.7963 0.2500  6 O 1.95-2.08
Sb 0.7963 0.2037 0.7500  6 O 1.95-2.08
O 0.0692 0.9308 0.1096  1 Cu 1.90, 1 Sb 1.95
O 0.0692 0.9308 0.3904  1 Cu 1.90, 1 Sb 1.95
O 0.2314 0.7686 0.7500  2 Cu 1.98, 2 Sb 2.08
O 0.3305 0.6695 0.0890  2 Cu 2.01, 1 Sb 2.04
O 0.3305 0.6695 0.4110  2 Cu 2.01, 1 Sb 2.04
O 0.6695 0.3305 0.5890  2 Cu 2.01, 1 Sb 2.04
O 0.6695 0.3305 0.9110  2 Cu 2.01, 1 Sb 2.04
O 0.7686 0.2314 0.2500  2 Cu 1.98, 2 Sb 2.08
O 0.9308 0.0692 0.6096  1 Cu 1.90, 1 Sb 1.95
O 0.9308 0.0692 0.8904  1 Cu 1.90, 1 Sb 1.95


[2]
Entry from Alexandria via LeMat-Bulk: CuSbO3 after structural relaxation (PBE).

uncorrected formation energy: -0.48 eV per atom

a b c (Å): 3.7805 3.7805 3.7805
angles (deg): 90.00 90.00 90.00
Closest atoms and distances in Å follow each position.
Atoms (fractional coordinates):
Cu 0.0000 0.0000 0.0000  6 O 1.89
Sb 0.5000 0.5000 0.5000  12 O 2.67
O 0.0000 0.0000 0.5000  2 Cu 1.89
O 0.0000 0.5000 0.0000  2 Cu 1.89
O 0.5000 0.0000 0.0000  2 Cu 1.89